Entry 1:
Density functional theory data (PBE-GGA) for AuO4 after structural relaxation.

Cell lengths 4.493, 6.024, 5.012 Å; angles 90.00, 119.57, 90.00 degrees
Sites, in units of the cell vectors:
Au 0.000 0.814 0.250
Au 0.000 0.186 0.750
O 0.338 0.591 0.158
O 0.333 0.134 0.216
O 0.667 0.134 0.284
O 0.662 0.591 0.342
O 0.338 0.409 0.658
O 0.333 0.866 0.716
O 0.667 0.866 0.784
O 0.662 0.409 0.842

Computed properties:
* DFT total energy: -4.322 eV per atom
* space-group type: P2/c, No. 13



Entry 2:
Density functional theory data (PBE-GGA) for Au2O3 after structural relaxation.

Cell lengths 5.079, 5.079, 5.079 Å; angles 90.00, 90.00, 90.00 degrees
Sites, in units of the cell vectors:
Au 0.750 0.250 0.250
Au 0.250 0.750 0.250
Au 0.250 0.250 0.750
Au 0.750 0.750 0.750
O 0.500 0.000 0.000
O 0.000 0.500 0.000
O 0.500 0.500 0.000
O 0.000 0.000 0.500
O 0.500 0.000 0.500
O 0.000 0.500 0.500

Computed properties:
* DFT total energy: -4.000 eV per atom
* space-group type: Pn-3m, No. 224



Entry 3:
Density functional theory data (PBE-GGA) for Au2O after structural relaxation.

Cell lengths 5.858, 5.858, 2.854 Å; angles 90.00, 90.00, 90.00 degrees
Sites, in units of the cell vectors:
Au 0.270 0.270 0.000
Au 0.730 0.730 0.000
Au 0.770 0.230 0.500
Au 0.230 0.770 0.500
O 0.000 0.000 0.000
O 0.500 0.500 0.500

Computed properties:
* DFT total energy: -3.376 eV per atom
* space-group type: P4_2/mnm, No. 136



Entry 4:
Density functional theory data (PBE-GGA) for Au2O after structural relaxation.

Cell lengths 4.103, 4.103, 4.103 Å; angles 60.00, 60.00, 60.00 degrees
Sites, in units of the cell vectors:
Au 0.250 0.250 0.250
Au 0.750 0.750 0.750
O 0.000 0.000 0.000

Computed properties:
* DFT total energy: -3.129 eV per atom
* space-group type: Fm-3m, No. 225